MnNi2Cl | PBE | optimized geometry

Cell: 3.1457 3.0034 6.4417 Å, 90.00 90.32 90.00°
Closest atoms and distances in Å follow each position.
Space group Pm (No. 6)
Asymmetric unit:
Mn 0.0000 0.0000 0.0000 (multiplicity 1)  2 Cl 2.49, 5 Ni 2.49-2.59
Ni 0.0053 0.0000 0.3873 (multiplicity 1)  4 Ni 2.43-2.44, 2 Cl 2.47, 1 Mn 2.49
Ni 0.5025 0.5000 0.2171 (multiplicity 1)  4 Ni 2.43-2.44, 4 Mn 2.59
Cl 0.9981 0.5000 0.6918 (multiplicity 1)  2 Ni 2.47, 2 Mn 2.49

- uncorrected formation energy (eV per atom) = 0.082
- final energy (eV per formula unit) = -22.25
- theoretical density (Mg/m³) = 5.67

=====

ScHPd2 | PBE | optimized geometry

Cell: 2.9754 2.9754 22.1993 Å, 90.00 90.00 120.00°
Closest atoms and distances in Å follow each position.
Space group R-3m (No. 166, hexagonal axes)
Asymmetric unit:
Sc 0.0000 0.0000 0.0000 (multiplicity 3)  2 Pd 2.53
H 0.0000 0.0000 0.5000 (multiplicity 3)  6 Pd 2.08
Pd 0.0000 0.0000 0.1141 (multiplicity 6)  3 H 2.08

- final energy (eV per formula unit) = -20.28
- theoretical density (Mg/m³) = 7.57

=====

MgOs2Au2 | PBE | optimized geometry

Cell: 4.0836 4.0836 11.5704 Å, 90.00 90.00 90.00°
Closest atoms and distances in Å follow each position.
Space group I4/mmm (No. 139)
Asymmetric unit:
Mg 0.0000 0.0000 0.0000 (multiplicity 2)  8 Os 3.10
Os 0.0000 0.0000 0.4035 (multiplicity 4)  1 Os 2.23
Au 0.0000 0.5000 0.2500 (multiplicity 4)  4 Os 2.71, 4 Au 2.89

- ΔE_f (eV per atom) = 0.684
- final energy (eV per formula unit) = -27.19
- theoretical density (Mg/m³) = 13.75

=====

Ca2PrH8Ru | PBE | optimized geometry

Cell: 4.8740 4.8740 6.6597 Å, 90.00 90.00 120.00°
Closest atoms and distances in Å follow each position.
Space group P-3m1 (No. 164)
Asymmetric unit:
Ca 0.3333 0.6667 0.3525 (multiplicity 2)  7 H 2.23-2.44
Pr 0.0000 0.0000 0.0000 (multiplicity 1)  12 H 2.62-2.82
H 0.1596 0.3191 0.6629 (multiplicity 6)  1 Ru 1.73
H 0.3333 0.6667 0.0179 (multiplicity 2)  1 Ca 2.23
Ru 0.0000 0.0000 0.5000 (multiplicity 1)  6 H 1.73

- final energy (eV per formula unit) = -50.38
- theoretical density (Mg/m³) = 4.00

=====

Cu2Te8Pt | PBE | optimized geometry

Cell: 10.6595 8.3700 6.9271 Å, 90.00 91.73 90.00°
Closest atoms and distances in Å follow each position.
Space group C2/m (No. 12)
Asymmetric unit:
Cu 0.1842 0.0000 0.3250 (multiplicity 4)  4 Te 2.58-2.67
Te 0.0658 0.5000 0.6780 (multiplicity 4)  1 Cu 2.67, 1 Te 2.80
Te 0.1465 0.2637 0.1402 (multiplicity 8)  1 Cu 2.58, 1 Pt 2.86
Te 0.1518 0.0000 0.6990 (multiplicity 4)  1 Cu 2.62, 1 Pt 2.68
Pt 0.0000 0.0000 0.0000 (multiplicity 2)  6 Te 2.68-2.86, 2 Cu 2.94

- uncorrected formation energy (eV per atom) = 0.003
- final energy (eV per formula unit) = -39.33
- theoretical density (Mg/m³) = 7.22

=====

HgOs2Pt | PBE | optimized geometry

Cell: 2.8099 2.8099 8.1755 Å, 90.00 90.00 90.00°
Closest atoms and distances in Å follow each position.
Space group P4/mmm (No. 123)
Asymmetric unit:
Hg 0.0000 0.0000 0.0000 (multiplicity 1)  4 Hg 2.81, 8 Os 2.97
Os 0.5000 0.5000 0.2698 (multiplicity 2)  4 Pt 2.74, 4 Os 2.81, 4 Hg 2.97
Pt 0.0000 0.0000 0.5000 (multiplicity 1)  8 Os 2.74, 4 Pt 2.81

- ΔE_f (eV per atom) = 0.708
- final energy (eV per formula unit) = -25.97
- theoretical density (Mg/m³) = 19.97

=====

LaNdHo2Th | PBE | optimized geometry

Cell: 8.7313 6.5238 6.4099 Å, 90.00 102.87 90.00°
Closest atoms and distances in Å follow each position.
Space group P2/c (No. 13)
Asymmetric unit:
La 0.0000 0.0000 0.0000 (multiplicity 2)  2 La 3.20, 2 Th 3.37, 2 Ho 3.50
Nd 0.5000 0.1647 0.2500 (multiplicity 2)  8 Ho 3.62-3.81, 2 Nd 3.86
Ho 0.3148 0.3340 0.6808 (multiplicity 4)  1 Ho 3.16, 2 Th 3.19-3.52, 1 La 3.50
Th 0.0000 0.4543 0.2500 (multiplicity 2)  4 Ho 3.19-3.52, 2 Th 3.26, 2 La 3.37

- ΔE_f (eV per atom) = 0.298
- final energy (eV per formula unit) = -24.78
- theoretical density (Mg/m³) = 7.88

=====

> Among the records above, which one has the lowest final energy?

Ca2PrH8Ru

=====

Copy entry 3 word for word.
MgOs2Au2 | PBE | optimized geometry

Cell: 4.0836 4.0836 11.5704 Å, 90.00 90.00 90.00°
Closest atoms and distances in Å follow each position.
Space group I4/mmm (No. 139)
Asymmetric unit:
Mg 0.0000 0.0000 0.0000 (multiplicity 2)  8 Os 3.10
Os 0.0000 0.0000 0.4035 (multiplicity 4)  1 Os 2.23
Au 0.0000 0.5000 0.2500 (multiplicity 4)  4 Os 2.71, 4 Au 2.89

- ΔE_f (eV per atom) = 0.684
- final energy (eV per formula unit) = -27.19
- theoretical density (Mg/m³) = 13.75

=====

> Among the records above, which one has the highest theoretical density?

HgOs2Pt

=====

> The highest theoretical density belongs to which entry?

HgOs2Pt